RbPaCoO6 | PBE+U | optimized geometry

The final energy comes out at -6.550 eV/atom. The value obtained for the size of the total moment is 6.1 μB/f.u.

The space group is P312 (No. 149) and the conventional cell measures 5.7570, 5.7570 and 4.8302 Å, with angles of 90.00, 90.00 and 120.00 degrees. The distinct sites, in fractional coordinates, are Rb at (0.0000, 0.0000, 0.0000), Pa at (0.6667, 0.3333, 0.5000), Co at (0.3333, 0.6667, 0.0000) and O at (0.0176, 0.4640, 0.2400).